# 1
VASP calculation (PBE) on an optimized crystal structure of Tc2NiW.

Cell: 6.107 6.107 6.107 Å, 90.00 90.00 90.00°
Space group F-43m (No. 216)
Unique sites:
Tc1 0.000 0.000 0.000 [4 per cell]
Tc2 0.250 0.250 0.250 [4 per cell]
Ni1 0.000 0.000 0.500 [4 per cell]
W1 0.250 0.250 0.750 [4 per cell]

## Properties
For the energy of formation from the pure elements, the calculation gives 230 meV per atom.

***

# 2
VASP calculation (PBE) on an optimized crystal structure of Y2Nb4Cu3N3.

Cell: 9.581 5.529 13.817 Å, 90.00 103.26 90.00°
Space group C2/c (No. 15)
Unique sites:
Y1 0.042 0.082 0.380 [8 per cell]
Nb1 0.110 0.410 0.582 [8 per cell]
Nb2 0.226 0.418 0.918 [8 per cell]
Cu1 0.000 0.426 0.750 [4 per cell]
Cu2 0.245 0.161 0.751 [8 per cell]
N1 0.082 0.246 0.000 [8 per cell]
N2 0.250 0.250 0.500 [4 per cell]

## Properties
For the total energy, the calculation gives -389.4 eV/cell.

***

| no. | M_tot (μB/f.u.) | theoretical density (Mg/m³) |
| --- | --- | --- |
| 1 | 0.04 | 12.791 |
| 2 | 0.01 | 7.292 |